[1]
{"formula": "LiSc2AlC", "functional": "GGA-PBE", "state": "relaxed", "e_above_lowest_polymorph_kj_per_mol_atoms": 0.9, "delta_e_f_mev_per_atom": -206, "total_magnetization_mub_per_fu": 0.00, "space_group": "P4/mmm, No. 123", "lattice": [[4.5876, 0.0000, 0.0000], [0.0000, 4.5876, 0.0000], [0.0000, 0.0000, 4.0269]], "species": ["Li", "Sc", "Sc", "Al", "C"], "frac_coords": [[0.5000, 0.5000, 0.5000], [0.5000, 0.0000, 0.0000], [0.0000, 0.5000, 0.0000], [0.0000, 0.0000, 0.5000], [0.0000, 0.0000, 0.0000]]}

=====

[2]
{"formula": "BaZnCd2", "functional": "GGA-PBE", "state": "relaxed", "delta_e_f_mev_per_atom": -66, "total_magnetization_mub_per_fu": 0.00, "space_group": "Pmmm, No. 47", "lattice": [[-2.4782, 2.0586, -3.5045], [1.8969, -3.0838, -3.1528], [-4.0255, -3.3654, 0.8698]], "species": ["Cd", "Cd", "Zn", "Ba"], "frac_coords": [[0.0000, 0.0000, 0.0000], [0.5000, 0.5000, 0.0000], [0.5000, 0.0000, 0.5000], [0.0000, 0.5000, 0.5000]]}

=====

[3]
{"formula": "La2CuPd6", "functional": "GGA-PBE", "state": "relaxed", "delta_e_f_mev_per_atom": -660, "total_magnetization_mub_per_fu": 0.00, "space_group": "C2/m, No. 12", "lattice": [[5.7764, 0.0000, 0.0000], [-2.8882, 4.8240, 1.1141], [0.0000, 0.1025, 6.2383]], "species": ["La", "La", "Pd", "Pd", "Pd", "Pd", "Pd", "Pd", "Cu"], "frac_coords": [[0.6412, 0.2825, 0.1731], [0.3588, 0.7175, 0.8269], [0.3896, 0.2633, 0.6829], [0.1263, 0.7367, 0.3171], [0.6104, 0.7367, 0.3171], [0.1232, 0.2464, 0.3101], [0.8737, 0.2633, 0.6829], [0.8768, 0.7536, 0.6899], [0.0000, 0.0000, 0.0000]]}

=====

[4]
{"formula": "SnGe2O", "functional": "GGA-PBE", "state": "relaxed", "e_above_lowest_polymorph_kj_per_mol_atoms": 0.0, "total_magnetization_mub_per_fu": 0.00, "formation_energy_uncorrected_ev_per_atom": -0.1475, "space_group": "I-42d, No. 122", "lattice": [[5.1276, 0.0000, 0.0000], [0.0000, 5.1276, 0.0000], [2.5638, 2.5638, 6.4176]], "species": ["O", "O", "Ge", "Ge", "Ge", "Ge", "Sn", "Sn"], "frac_coords": [[0.2500, 0.7500, 0.5000], [0.5000, 0.5000, 0.0000], [0.3750, 0.4954, 0.7500], [0.2454, 0.6250, 0.2500], [0.8750, 0.7546, 0.7500], [0.5046, 0.1250, 0.2500], [0.0000, 0.0000, 0.0000], [0.7500, 0.2500, 0.5000]]}

=====

[5]
{"formula": "CsGeS2N", "functional": "GGA-PBE", "state": "relaxed", "e_above_lowest_polymorph_kj_per_mol_atoms": 138.6, "total_magnetization_mub_per_fu": 1.81, "formation_energy_uncorrected_ev_per_atom": 1.8572, "space_group": "P4/mmm, No. 123", "lattice": [[-5.1177, 1.6982, 1.7394], [0.1627, -3.8057, 4.1942], [1.8949, 2.9986, 2.6474]], "species": ["S", "S", "Cs", "Ge", "N"], "frac_coords": [[0.0000, 0.5000, 0.0000], [0.5000, 0.0000, 0.0000], [0.0000, 0.0000, 0.0000], [0.5000, 0.5000, 0.5000], [0.0000, 0.0000, 0.5000]]}

=====

[6]
{"formula": "Ni2BiPt2", "functional": "GGA-PBE", "state": "relaxed", "e_above_lowest_polymorph_kj_per_mol_atoms": 0.0, "delta_e_f_mev_per_atom": 75, "total_magnetization_mub_per_fu": 0.20, "space_group": "P4/mbm, No. 127", "lattice": [[6.8658, 0.0000, 0.0000], [0.0000, 6.8658, 0.0000], [0.0000, 0.0000, 3.4084]], "species": ["Pt", "Pt", "Pt", "Pt", "Bi", "Bi", "Ni", "Ni", "Ni", "Ni"], "frac_coords": [[0.3469, 0.1531, 0.5000], [0.1531, 0.6531, 0.5000], [0.8469, 0.3469, 0.5000], [0.6531, 0.8469, 0.5000], [0.5000, 0.5000, 0.0000], [0.0000, 0.0000, 0.0000], [0.1342, 0.3658, 0.0000], [0.3658, 0.8658, 0.0000], [0.6342, 0.1342, 0.0000], [0.8658, 0.6342, 0.0000]]}

=====

[7]
{"formula": "Zn3CuRh2", "functional": "GGA-PBE", "state": "relaxed", "e_above_lowest_polymorph_kj_per_mol_atoms": 0.0, "delta_e_f_mev_per_atom": -353, "total_magnetization_mub_per_fu": 0.00, "space_group": "Cmmm, No. 65", "lattice": [[3.1663, 0.0000, 0.0000], [0.0000, 3.9274, -1.3002], [0.0000, 0.0022, 6.5885]], "species": ["Cu", "Rh", "Rh", "Zn", "Zn", "Zn"], "frac_coords": [[0.0000, 0.0000, 0.0000], [0.0000, 0.3402, 0.6804], [0.0000, 0.6598, 0.3196], [0.5000, 0.5000, 0.0000], [0.5000, 0.8304, 0.6609], [0.5000, 0.1696, 0.3391]]}

=====

[8]
{"formula": "P2RhCl", "functional": "GGA-PBE", "state": "relaxed", "e_above_lowest_polymorph_kj_per_mol_atoms": 3.5, "total_magnetization_mub_per_fu": 0.00, "formation_energy_uncorrected_ev_per_atom": -0.1323, "space_group": "C2/m, No. 12", "lattice": [[-1.2868, 3.6469, -0.9887], [-2.2697, 1.2793, -3.0240], [-6.9912, 1.7054, 1.3923]], "species": ["Rh", "Cl", "P", "P"], "frac_coords": [[0.7500, 0.7500, 0.7500], [0.2500, 0.2500, 0.2500], [0.9658, 0.9658, 0.9045], [0.5342, 0.5342, 0.5955]]}

=====

[9]
{"formula": "ZrV2Ni2", "functional": "GGA-PBE", "state": "relaxed", "e_above_lowest_polymorph_kj_per_mol_atoms": 0.0, "delta_e_f_mev_per_atom": -73, "total_magnetization_mub_per_fu": 0.00, "space_group": "I4/mmm, No. 139", "lattice": [[-1.1930, 1.9106, 2.7487], [-1.5398, -2.9042, 1.3504], [3.4889, -1.7017, 4.9944]], "species": ["Ni", "Ni", "V", "V", "Zr"], "frac_coords": [[0.6007, 0.6007, 0.7986], [0.3993, 0.3993, 0.2014], [0.7500, 0.2500, 0.5000], [0.2500, 0.7500, 0.5000], [0.0000, 0.0000, 0.0000]]}

=====

[10]
{"formula": "LaAg2Bi2", "functional": "GGA-PBE", "state": "relaxed", "e_above_lowest_polymorph_kj_per_mol_atoms": 13.0, "delta_e_f_mev_per_atom": -310, "total_magnetization_mub_per_fu": 0.00, "space_group": "I4/mmm, No. 139", "lattice": [[4.4057, 0.0000, 0.0000], [0.0000, 4.4057, 0.0000], [2.2029, 2.2029, 7.1558]], "species": ["La", "Bi", "Bi", "Ag", "Ag"], "frac_coords": [[0.0000, 0.0000, 0.0000], [0.6119, 0.6119, 0.7763], [0.3881, 0.3881, 0.2237], [0.7500, 0.2500, 0.5000], [0.2500, 0.7500, 0.5000]]}

=====

[11]
{"formula": "KPmNpO6", "functional": "GGA-PBE", "state": "relaxed", "total_magnetization_mub_per_fu": 1.08, "formation_energy_uncorrected_ev_per_atom": -2.3885, "space_group": "P-31c, No. 163", "lattice": [[6.0170, 0.0000, 0.0000], [-3.0085, 5.2109, 0.0000], [0.0000, 0.0000, 9.5467]], "species": ["K", "K", "Pm", "Pm", "O", "O", "O", "O", "O", "O", "O", "O", "O", "O", "O", "O", "Np", "Np"], "frac_coords": [[0.6667, 0.3333, 0.7500], [0.3333, 0.6667, 0.2500], [0.0000, 0.0000, 0.5000], [0.0000, 0.0000, 0.0000], [0.0864, 0.3758, 0.6268], [0.0864, 0.7106, 0.8732], [0.2894, 0.9136, 0.6268], [0.6242, 0.9136, 0.8732], [0.2894, 0.3758, 0.8732], [0.3758, 0.0864, 0.1268], [0.6242, 0.7106, 0.6268], [0.9136, 0.2894, 0.1268], [0.7106, 0.0864, 0.3732], [0.9136, 0.6242, 0.3732], [0.3758, 0.2894, 0.3732], [0.7106, 0.6242, 0.1268], [0.3333, 0.6667, 0.7500], [0.6667, 0.3333, 0.2500]]}

=====

[12]
{"formula": "HgAu2Cl8", "functional": "GGA-PBE", "state": "relaxed", "total_magnetization_mub_per_fu": 0.00, "formation_energy_uncorrected_ev_per_atom": -0.1167, "space_group": "C2/m, No. 12", "lattice": [[7.8631, 0.9131, 0.6928], [1.3742, 7.7216, 0.8558], [1.3742, 2.9033, 7.2059]], "species": ["Cl", "Cl", "Cl", "Cl", "Cl", "Cl", "Cl", "Cl", "Au", "Au", "Hg"], "frac_coords": [[0.2739, 0.3056, 0.9290], [0.2843, 0.4055, 0.4055], [0.2739, 0.9290, 0.3056], [0.7157, 0.5945, 0.5945], [0.7261, 0.6944, 0.0710], [0.7697, 0.1585, 0.1585], [0.2303, 0.8415, 0.8415], [0.7261, 0.0710, 0.6944], [0.7204, 0.7587, 0.7587], [0.2796, 0.2413, 0.2413], [0.0000, 0.0000, 0.0000]]}

=====

[13]
{"formula": "Pu5Mn2S12", "functional": "GGA-PBE", "state": "relaxed", "total_magnetization_mub_per_fu": 18.00, "formation_energy_uncorrected_ev_per_atom": -1.2715, "space_group": "C2/m, No. 12", "lattice": [[6.8285, 0.0000, 0.0000], [-3.4142, 7.1765, -2.1279], [0.0000, -0.0207, 8.4339]], "species": ["S", "S", "S", "S", "S", "S", "S", "S", "S", "S", "S", "S", "Pu", "Pu", "Pu", "Pu", "Pu", "Mn", "Mn"], "frac_coords": [[0.4103, 0.3259, 0.0830], [0.1019, 0.7022, 0.4291], [0.6004, 0.7022, 0.4291], [0.9156, 0.3259, 0.0830], [0.4961, 0.9921, 0.8020], [0.0002, 0.0005, 0.1817], [0.9998, 0.9995, 0.8183], [0.5039, 0.0079, 0.1980], [0.5897, 0.6741, 0.9170], [0.3996, 0.2978, 0.5709], [0.0844, 0.6741, 0.9170], [0.8981, 0.2978, 0.5709], [0.6979, 0.3958, 0.3478], [0.3021, 0.6042, 0.6522], [0.6857, 0.3715, 0.8442], [0.0000, 0.0000, 0.5000], [0.3143, 0.6285, 0.1558], [0.7484, 0.0000, 0.0000], [0.2516, 0.0000, 0.0000]]}

=====

[14]
{"formula": "YZr2Tc", "functional": "GGA-PBE", "state": "relaxed", "e_above_lowest_polymorph_kj_per_mol_atoms": 21.5, "delta_e_f_mev_per_atom": 97, "total_magnetization_mub_per_fu": 0.00, "space_group": "Cmm2, No. 35", "lattice": [[-2.1043, 0.8991, 2.1819], [-1.2579, -1.6599, -2.3790], [1.5838, -8.2786, 4.9386]], "species": ["Y", "Tc", "Zr", "Zr"], "frac_coords": [[0.5000, 0.5000, 0.7118], [0.0000, 0.0000, 0.4862], [0.5000, 0.5000, 0.2850], [0.0000, 0.0000, 0.0170]]}

=====

[15]
{"formula": "ZnFe2Au", "functional": "GGA-PBE", "state": "relaxed", "delta_e_f_mev_per_atom": 66, "total_magnetization_mub_per_fu": 5.06, "space_group": "I-4m2, No. 119", "lattice": [[4.6283, 0.0343, 0.0000], [1.3912, 4.4144, 0.0000], [-3.0097, -2.2243, 2.7232]], "species": ["Zn", "Fe", "Fe", "Au"], "frac_coords": [[0.5000, 0.5000, 0.0000], [0.2500, 0.7500, 0.5000], [0.0000, 0.0000, 0.0000], [0.7500, 0.2500, 0.5000]]}

=====

[16]
{"formula": "SrYCdAu", "functional": "GGA-PBE", "state": "relaxed", "delta_e_f_mev_per_atom": -468, "total_magnetization_mub_per_fu": 0.00, "space_group": "F-43m, No. 216", "lattice": [[-3.2689, -2.4138, 3.4958], [1.9428, -1.8791, 4.6290], [-1.2519, 2.4251, 4.6135]], "species": ["Sr", "Au", "Y", "Cd"], "frac_coords": [[0.2500, 0.2500, 0.2500], [0.5000, 0.5000, 0.5000], [0.7500, 0.7500, 0.7500], [0.0000, 0.0000, 0.0000]]}

=====

[17]
{"formula": "PrNd5Te6", "functional": "GGA-PBE", "state": "relaxed", "total_magnetization_mub_per_fu": 0.00, "formation_energy_uncorrected_ev_per_atom": -1.4277, "space_group": "C2/m, No. 12", "lattice": [[-0.7348, 0.6240, 7.7308], [-5.8917, -4.4792, 2.4400], [1.3395, -7.4264, 2.0460]], "species": ["Nd", "Nd", "Nd", "Nd", "Nd", "Te", "Te", "Te", "Te", "Te", "Te", "Pr"], "frac_coords": [[0.0000, 0.6666, 0.6669], [0.5000, 0.5000, 0.0000], [0.5000, 0.8352, 0.3295], [0.5000, 0.1648, 0.6705], [0.0000, 0.3334, 0.3331], [0.7503, 0.7479, 0.0000], [0.2497, 0.2521, 0.0000], [0.2514, 0.5808, 0.3354], [0.7486, 0.4192, 0.6646], [0.7486, 0.0838, 0.3354], [0.2514, 0.9162, 0.6646], [0.0000, 0.0000, 0.0000]]}

=====

[18]
{"formula": "Pm2TlAgSe4", "functional": "GGA-PBE", "state": "relaxed", "total_magnetization_mub_per_fu": 0.00, "formation_energy_uncorrected_ev_per_atom": -1.2934, "space_group": "Cmcm, No. 63", "lattice": [[4.2690, 0.0000, 0.0000], [-2.1345, 7.1290, 0.0000], [0.0000, 0.0000, 15.0615]], "species": ["Ag", "Ag", "Tl", "Tl", "Pm", "Pm", "Pm", "Pm", "Se", "Se", "Se", "Se", "Se", "Se", "Se", "Se"], "frac_coords": [[0.1612, 0.3224, 0.2500], [0.8388, 0.6776, 0.7500], [0.1205, 0.2410, 0.7500], [0.8795, 0.7590, 0.2500], [0.3684, 0.7369, 0.5679], [0.6316, 0.2631, 0.0679], [0.6316, 0.2631, 0.4321], [0.3684, 0.7369, 0.9321], [0.2674, 0.5348, 0.3944], [0.2674, 0.5348, 0.1056], [0.7326, 0.4652, 0.8944], [0.0000, 0.0000, 0.0000], [0.5512, 0.1024, 0.2500], [0.4488, 0.8976, 0.7500], [0.0000, 0.0000, 0.5000], [0.7326, 0.4652, 0.6056]]}

=====

[19]
{"formula": "Th7FeI12", "functional": "GGA-PBE", "state": "relaxed", "total_magnetization_mub_per_fu": 0.04, "formation_energy_uncorrected_ev_per_atom": -0.9505, "space_group": "R-3, No. 148", "lattice": [[-4.2102, 6.2173, -6.8294], [10.0713, -0.3124, -1.2218], [-3.9569, -9.3152, -0.7695]], "species": ["Th", "Th", "Th", "Th", "Th", "Th", "Th", "I", "I", "I", "I", "I", "I", "I", "I", "I", "I", "I", "I", "Fe"], "frac_coords": [[0.3162, 0.1296, 0.0627], [0.6838, 0.8704, 0.9373], [0.8704, 0.9373, 0.6838], [0.5000, 0.5000, 0.5000], [0.0627, 0.3162, 0.1296], [0.1296, 0.0627, 0.3162], [0.9373, 0.6838, 0.8704], [0.5944, 0.5045, 0.8445], [0.3047, 0.7823, 0.9271], [0.4955, 0.1555, 0.4056], [0.9271, 0.3047, 0.7823], [0.2177, 0.0729, 0.6953], [0.1555, 0.4056, 0.4955], [0.0729, 0.6953, 0.2177], [0.7823, 0.9271, 0.3047], [0.5045, 0.8445, 0.5944], [0.8445, 0.5944, 0.5045], [0.6953, 0.2177, 0.0729], [0.4056, 0.4955, 0.1555], [0.0000, 0.0000, 0.0000]]}

=====

[20]
{"formula": "SmSc2In3", "functional": "GGA-PBE", "state": "relaxed", "delta_e_f_mev_per_atom": -440, "total_magnetization_mub_per_fu": 0.00, "space_group": "P4/mmm, No. 123", "lattice": [[-2.4919, -2.2555, 1.3221], [2.4068, -1.2658, 2.3770], [-3.1602, 7.8029, 7.3550]], "species": ["In", "In", "In", "Sc", "Sc", "Sm"], "frac_coords": [[0.0000, 0.0000, 0.3118], [0.0000, 0.0000, 0.0000], [0.0000, 0.0000, 0.6882], [0.5000, 0.5000, 0.8440], [0.5000, 0.5000, 0.1560], [0.5000, 0.5000, 0.5000]]}